Record 1
The following is a DFT calculation (PBE) of an optimized crystal structure of Dy2ZnPb.

Fermi-level density of states ... 1.199 states/eV per atom
Final energy ... -42.788 eV/cell

Cell lengths 3.5181, 3.5181, 32.5163 Å; angles 90.00, 90.00, 120.00 degrees
Space group R-3m (No. 166, hexagonal axes)
One atom of each set of equivalent atoms:
Dy 0.0000 0.0000 0.0983 x6
Zn 0.0000 0.0000 0.5000 x3
Pb 0.0000 0.0000 0.0000 x3

Record 2
The following is a DFT calculation (PBE) of an optimized crystal structure of DyZn4Pb.

Fermi-level density of states ... 0.437 states/eV per atom
Final energy ... -56.641 eV/cell

Cell lengths 7.817, 7.817, 7.817 Å; angles 90.00, 90.00, 90.00 degrees
Space group F-43m (No. 216)
One atom of each set of equivalent atoms:
Dy 0.000 0.000 0.000 x4
Zn 0.126 0.126 0.374 x16
Pb 0.250 0.250 0.750 x4

Record 3
The following is a DFT calculation (PBE) of an optimized crystal structure of Dy6Zn2Pb.

Fermi-level density of states ... 0.965 states/eV per atom
Final energy ... -144.727 eV/cell

Cell lengths 9.714, 9.748, 10.481 Å; angles 90.00, 90.00, 90.00 degrees
Space group Immm (No. 71)
One atom of each set of equivalent atoms:
Dy 0.000 0.207 0.185 x8
Dy 0.187 0.220 0.500 x8
Dy 0.209 0.500 0.264 x8
Zn 0.000 0.000 0.378 x4
Zn 0.137 0.000 0.000 x4
Pb 0.000 0.500 0.000 x2
Pb 0.000 0.500 0.500 x2

Record 4
The following is a DFT calculation (PBE) of an optimized crystal structure of Dy3Zn2Pb.

Fermi-level density of states ... 0.659 states/eV per atom
Final energy ... -44.516 eV/cell

Cell lengths 5.155, 15.475, 3.704 Å; angles 90.00, 90.00, 90.00 degrees
Space group Cmmm (No. 65)
One atom of each set of equivalent atoms:
Dy 0.000 0.000 0.000 x2
Dy 0.000 0.325 0.000 x4
Zn 0.000 0.171 0.500 x4
Pb 0.000 0.500 0.500 x2

> Which of these has the lowest final energy?

Dy6Zn2Pb